Compound: CaCo2Pt
Source: Alexandria via LeMat-Bulk
Functional: PBE
Structure: relaxed

a b c (Å): 4.8528 4.8528 4.8528
angles (deg): 131.27 131.27 71.38
Fractional coordinates of all 4 atoms:
Co: 0.0000 0.0000 0.0000
Co: 0.2500 0.7500 0.5000
Pt: 0.5000 0.5000 0.0000
Ca: 0.7500 0.2500 0.5000

* DOS(E_F): 1.457 states/eV per atom
* formation energy from the elements: 0.1415 eV/atom
* calculated total energy: -21.688 eV per cell

---

Compound: CaCoPt2
Source: Alexandria via LeMat-Bulk
Functional: PBE
Structure: relaxed

a b c (Å): 4.9314 4.9314 4.9314
angles (deg): 130.88 130.88 72.01
Fractional coordinates of all 4 atoms:
Pt: 0.0000 0.0000 0.0000
Pt: 0.5000 0.5000 0.0000
Ca: 0.2500 0.7500 0.5000
Co: 0.7500 0.2500 0.5000

* DOS(E_F): 1.225 states/eV per atom
* formation energy from the elements: -0.2309 eV/atom
* calculated total energy: -22.113 eV per cell

---

Compound: CaCo2Pt
Source: Alexandria via LeMat-Bulk
Functional: PBE
Structure: relaxed

a b c (Å): 3.2758 3.2758 6.3476
angles (deg): 90.00 90.00 90.00
Fractional coordinates of all 4 atoms:
Pt: 0.5000 0.5000 0.2500
Co: 0.0000 0.0000 0.0656
Co: 0.0000 0.0000 0.4344
Ca: 0.5000 0.5000 0.7500

* DOS(E_F): 1.600 states/eV per atom
* formation energy from the elements: 0.1954 eV/atom
* calculated total energy: -21.472 eV per cell

---

Compound: CaCo2Pt
Source: Alexandria via LeMat-Bulk
Functional: PBE
Structure: relaxed

a b c (Å): 3.0108 3.0090 7.0443
angles (deg): 90.00 90.00 90.00
Fractional coordinates of all 4 atoms:
Co: 0.0000 0.0000 0.0700
Co: 0.5000 0.5000 0.2189
Pt: 0.0000 0.0000 0.4556
Ca: 0.5000 0.5000 0.7555

* DOS(E_F): 1.011 states/eV per atom
* formation energy from the elements: -0.0231 eV/atom
* calculated total energy: -22.346 eV per cell

---

Compound: CaCoPt2
Source: Alexandria via LeMat-Bulk
Functional: PBE
Structure: relaxed

a b c (Å): 4.0949 4.0908 3.9548
angles (deg): 90.00 90.00 90.00
Fractional coordinates of all 4 atoms:
Pt: 0.5000 0.5000 0.0000
Pt: 0.0000 0.0000 0.0000
Co: 0.0000 0.5000 0.5000
Ca: 0.5000 0.0000 0.5000

* DOS(E_F): 1.197 states/eV per atom
* formation energy from the elements: -0.2747 eV/atom
* calculated total energy: -22.288 eV per cell

---

Compound: CaCoPt2
Source: Alexandria via LeMat-Bulk
Functional: PBE
Structure: relaxed

a b c (Å): 2.9824 2.9824 7.5055
angles (deg): 90.00 90.00 90.00
Fractional coordinates of all 4 atoms:
Pt: 0.0000 0.0000 0.5409
Pt: 0.0000 0.0000 0.9591
Ca: 0.5000 0.5000 0.2500
Co: 0.5000 0.5000 0.7500

* DOS(E_F): 0.842 states/eV per atom
* formation energy from the elements: -0.3104 eV/atom
* calculated total energy: -22.431 eV per cell

---

Compound: CaCo2Pt
Source: Alexandria via LeMat-Bulk
Functional: PBE
Structure: relaxed

a b c (Å): 4.2148 4.2148 5.5569
angles (deg): 67.77 67.77 59.98
Fractional coordinates of all 4 atoms:
Co: 0.0631 0.0631 0.8106
Co: 0.7464 0.7464 0.7607
Ca: 0.2490 0.2490 0.2535
Pt: 0.4415 0.4415 0.6752

* DOS(E_F): 0.896 states/eV per atom
* formation energy from the elements: -0.1503 eV/atom
* calculated total energy: -22.855 eV per cell

---

Compound: CaCoPt
Source: Alexandria via LeMat-Bulk
Functional: PBE
Structure: relaxed

a b c (Å): 4.5411 4.5411 4.5411
angles (deg): 60.00 60.00 60.00
Fractional coordinates of all 3 atoms:
Ca: 0.7500 0.7500 0.7500
Pt: 0.5000 0.5000 0.5000
Co: 0.0000 0.0000 0.0000

* DOS(E_F): 2.593 states/eV per atom
* formation energy from the elements: 0.6670 eV/atom
* calculated total energy: -13.147 eV per cell

---

Compound: CaCo2Pt
Source: Alexandria via LeMat-Bulk
Functional: PBE
Structure: relaxed

a b c (Å): 4.1516 4.1516 9.4721
angles (deg): 77.34 77.34 90.00
Fractional coordinates of all 8 atoms:
Co: 0.9790 0.6250 0.2500
Co: 0.7710 0.1250 0.2500
Co: 0.8750 0.0210 0.7500
Co: 0.3750 0.2290 0.7500
Pt: 0.0000 0.0000 0.0000
Pt: 0.7500 0.2500 0.5000
Ca: 0.5000 0.5000 0.0000
Ca: 0.2500 0.7500 0.5000

* DOS(E_F): 1.289 states/eV per atom
* formation energy from the elements: 0.1603 eV/atom
* calculated total energy: -43.226 eV per cell

---

Compound: CaCoPt
Source: Alexandria via LeMat-Bulk
Functional: PBE
Structure: relaxed

a b c (Å): 5.5461 5.5457 3.4113
angles (deg): 72.10 72.08 35.82
Fractional coordinates of all 3 atoms:
Ca: 0.0046 0.0046 0.9954
Co: 0.2847 0.2847 0.7153
Pt: 0.7107 0.7107 0.2893

* DOS(E_F): 1.272 states/eV per atom
* formation energy from the elements: -0.1374 eV/atom
* calculated total energy: -15.560 eV per cell

---

Compound: Ca4CoPt
Source: Alexandria via LeMat-Bulk
Functional: PBE
Structure: relaxed

a b c (Å): 6.0810 6.0810 6.0810
angles (deg): 60.00 60.00 60.00
Fractional coordinates of all 6 atoms:
Co: 0.7500 0.7500 0.7500
Ca: 0.8758 0.3747 0.3747
Ca: 0.3747 0.3747 0.3747
Ca: 0.3747 0.3747 0.8758
Ca: 0.3747 0.8758 0.3747
Pt: 0.0000 0.0000 0.0000

* DOS(E_F): 1.892 states/eV per atom
* formation energy from the elements: 0.7861 eV/atom
* calculated total energy: -16.436 eV per cell

---

Compound: CaCoPt
Source: Alexandria via LeMat-Bulk
Functional: PBE
Structure: relaxed

a b c (Å): 4.3707 4.3707 4.3707
angles (deg): 60.00 60.00 60.00
Fractional coordinates of all 3 atoms:
Co: 0.7500 0.7500 0.7500
Pt: 0.0000 0.0000 0.0000
Ca: 0.5000 0.5000 0.5000

* DOS(E_F): 1.605 states/eV per atom
* formation energy from the elements: 0.0299 eV/atom
* calculated total energy: -15.058 eV per cell